Entry 1:
# PBE Na2Sr2In, relaxed
data_Na2Sr2In
_cell_length_a 11.205
_cell_length_b 11.205
_cell_length_c 11.205
_cell_angle_alpha 157.92
_cell_angle_beta 157.92
_cell_angle_gamma 31.43
_space_group_name_H-M_alt 'P 1'
_space_group_IT_number 1
_space_group_name_Hall 'P 1'
loop_
_atom_site_label
_atom_site_fract_x
_atom_site_fract_y
_atom_site_fract_z
_atom_site_occupancy
Na1 0.250 0.750 0.500 1
Na2 0.750 0.250 0.500 1
Sr1 0.089 0.089 0.000 1
Sr2 0.911 0.911 0.000 1
In1 0.500 0.500 0.000 1
# space-group type: I4/mmm, No. 139
# distance to the lowest polymorph of the same formula: 0.112 eV per atom
# ΔE_f: -0.07 eV/atom

=====

Entry 2:
# PBE FeMo2Br, relaxed
data_FeMo2Br
_cell_length_a 3.255
_cell_length_b 3.150
_cell_length_c 7.135
_cell_angle_alpha 90.00
_cell_angle_beta 90.05
_cell_angle_gamma 90.00
_space_group_name_H-M_alt 'P 1'
_space_group_IT_number 1
_space_group_name_Hall 'P 1'
loop_
_atom_site_label
_atom_site_fract_x
_atom_site_fract_y
_atom_site_fract_z
_atom_site_occupancy
Fe1 0.000 0.000 0.000 1
Mo1 0.001 0.000 0.386 1
Mo2 0.500 0.500 0.195 1
Br1 0.006 0.500 0.703 1
# space-group type: Pm, No. 6
# distance to the lowest polymorph of the same formula: 0.000 eV per atom

=====

Entry 3:
# PBE Ac7Nd3Er, relaxed
data_Ac7Nd3Er
_cell_length_a 8.310
_cell_length_b 8.310
_cell_length_c 6.937
_cell_angle_alpha 94.64
_cell_angle_beta 94.64
_cell_angle_gamma 84.61
_space_group_name_H-M_alt 'P 1'
_space_group_IT_number 1
_space_group_name_Hall 'P 1'
loop_
_atom_site_label
_atom_site_fract_x
_atom_site_fract_y
_atom_site_fract_z
_atom_site_occupancy
Ac1 0.000 0.000 0.000 1
Ac2 0.079 0.420 0.261 1
Ac3 0.262 0.262 0.772 1
Ac4 0.420 0.079 0.261 1
Ac5 0.580 0.921 0.739 1
Ac6 0.738 0.738 0.228 1
Ac7 0.921 0.580 0.739 1
Nd1 0.337 0.663 0.000 1
Nd2 0.500 0.500 0.500 1
Nd3 0.663 0.337 0.000 1
Er1 0.000 0.000 0.500 1
# space-group type: C2/m, No. 12
# ΔE_f: 0.27 eV/atom

=====

Entry 4:
# PBE MgSiAu2, relaxed
data_MgSiAu2
_cell_length_a 4.272
_cell_length_b 4.272
_cell_length_c 3.765
_cell_angle_alpha 90.00
_cell_angle_beta 90.00
_cell_angle_gamma 90.00
_space_group_name_H-M_alt 'P 1'
_space_group_IT_number 1
_space_group_name_Hall 'P 1'
loop_
_atom_site_label
_atom_site_fract_x
_atom_site_fract_y
_atom_site_fract_z
_atom_site_occupancy
Mg1 0.000 0.000 0.000 1
Si1 0.500 0.500 0.000 1
Au1 0.000 0.500 0.500 1
Au2 0.500 0.000 0.500 1
# space-group type: P4/mmm, No. 123

=====

Entry 5:
# PBE SiSb2Rh, relaxed
data_SiSb2Rh
_cell_length_a 4.338
_cell_length_b 4.581
_cell_length_c 4.581
_cell_angle_alpha 69.50
_cell_angle_beta 90.00
_cell_angle_gamma 90.00
_space_group_name_H-M_alt 'P 1'
_space_group_IT_number 1
_space_group_name_Hall 'P 1'
loop_
_atom_site_label
_atom_site_fract_x
_atom_site_fract_y
_atom_site_fract_z
_atom_site_occupancy
Si1 0.000 0.000 0.000 1
Sb1 0.000 0.370 0.370 1
Sb2 0.500 0.765 0.765 1
Rh1 0.500 0.148 0.148 1
# space-group type: Amm2, No. 38

=====

Entry 6:
# PBE Dy4Y15Sc, relaxed
data_Dy4Y15Sc
_cell_length_a 5.024
_cell_length_b 5.024
_cell_length_c 25.090
_cell_angle_alpha 90.00
_cell_angle_beta 90.00
_cell_angle_gamma 90.00
_space_group_name_H-M_alt 'P 1'
_space_group_IT_number 1
_space_group_name_Hall 'P 1'
loop_
_atom_site_label
_atom_site_fract_x
_atom_site_fract_y
_atom_site_fract_z
_atom_site_occupancy
Dy1 0.000 0.000 0.101 1
Dy2 0.000 0.000 0.302 1
Dy3 0.000 0.000 0.698 1
Dy4 0.000 0.000 0.899 1
Y1 0.000 0.500 0.000 1
Y2 0.000 0.500 0.202 1
Y3 0.000 0.500 0.403 1
Y4 0.000 0.500 0.597 1
Y5 0.000 0.500 0.798 1
Y6 0.500 0.000 0.000 1
Y7 0.500 0.000 0.202 1
Y8 0.500 0.000 0.403 1
Y9 0.500 0.000 0.597 1
Y10 0.500 0.000 0.798 1
Y11 0.500 0.500 0.101 1
Y12 0.500 0.500 0.302 1
Y13 0.500 0.500 0.500 1
Y14 0.500 0.500 0.698 1
Y15 0.500 0.500 0.899 1
Sc1 0.000 0.000 0.500 1
# space-group type: P4/mmm, No. 123
# ΔE_f: 0.03 eV/atom

=====

Entry 7:
# PBE NaMgAu, relaxed
data_NaMgAu
_cell_length_a 3.275
_cell_length_b 4.351
_cell_length_c 5.359
_cell_angle_alpha 90.00
_cell_angle_beta 90.00
_cell_angle_gamma 90.00
_space_group_name_H-M_alt 'P 1'
_space_group_IT_number 1
_space_group_name_Hall 'P 1'
loop_
_atom_site_label
_atom_site_fract_x
_atom_site_fract_y
_atom_site_fract_z
_atom_site_occupancy
Na1 0.000 0.000 0.000 1
Mg1 0.000 0.500 0.500 1
Au1 0.500 0.000 0.500 1
# space-group type: Pmmm, No. 47
# distance to the lowest polymorph of the same formula: 0.058 eV per atom
# ΔE_f: -0.30 eV/atom

=====

Entry 8:
# PBE LiBr3, relaxed
data_LiBr3
_cell_length_a 5.183
_cell_length_b 5.183
_cell_length_c 5.183
_cell_angle_alpha 90.00
_cell_angle_beta 90.00
_cell_angle_gamma 90.00
_space_group_name_H-M_alt 'P 1'
_space_group_IT_number 1
_space_group_name_Hall 'P 1'
loop_
_atom_site_label
_atom_site_fract_x
_atom_site_fract_y
_atom_site_fract_z
_atom_site_occupancy
Li1 0.000 0.000 0.000 1
Br1 0.000 0.000 0.500 1
Br2 0.000 0.500 0.000 1
Br3 0.500 0.000 0.000 1
# space-group type: Pm-3m, No. 221
# distance to the lowest polymorph of the same formula: 0.417 eV per atom

=====

Number 1: total DFT energy (no corrections) -1.819 eV per atom. Number 2: total DFT energy (no corrections) -7.506 eV per atom. Number 3: total DFT energy (no corrections) -4.061 eV per atom. Number 4: total DFT energy (no corrections) -3.568 eV per atom. Number 5: total DFT energy (no corrections) -5.406 eV per atom. Number 6: total DFT energy (no corrections) -6.056 eV per atom. Number 7: total DFT energy (no corrections) -2.368 eV per atom. Number 8: total DFT energy (no corrections) -2.046 eV per atom.